A) The following is a GGA-PBE calculation of an optimized crystal structure of AcDyYHo, from Alexandria via LeMat-Bulk.

Density ... 7.63 g cm⁻³
SG ... No. 216

Lattice parameters (Å, degrees): 5.829 5.829 5.829 60.00 60.00 60.00
Atoms (fractional coordinates):
Ac (0.000, 0.000, 0.000)
Dy (0.500, 0.500, 0.500)
Y (0.750, 0.750, 0.750)
Ho (0.250, 0.250, 0.250)

---

B) The following is a GGA-PBE calculation of an optimized crystal structure of AcDyYHo, from Alexandria via LeMat-Bulk.

Density ... 7.69 g cm⁻³
SG ... No. 160

Lattice parameters (Å, degrees): 11.996 11.996 11.996 17.68 17.68 17.68
Atoms (fractional coordinates):
Ac (0.000, 0.000, 0.000)
Dy (0.579, 0.579, 0.579)
Y (0.754, 0.754, 0.754)
Ho (0.167, 0.167, 0.167)

---

Relative to the most stable structure, the computed energies are A) 0.062; B) 0.000, all in eV/atom.

---

A) The following is a GGA-PBE calculation of an optimized crystal structure of Ac2DyI, from Alexandria via LeMat-Bulk.

Density ... 7.71 g cm⁻³
SG ... No. 166

Lattice parameters (Å, degrees): 12.858 12.858 12.858 17.09 17.09 17.09
Atoms (fractional coordinates):
Ac (0.094, 0.094, 0.094)
Ac (0.906, 0.906, 0.906)
Dy (0.000, 0.000, 0.000)
I (0.500, 0.500, 0.500)

---

B) The following is a GGA-PBE calculation of an optimized crystal structure of Ac2DyI, from Alexandria via LeMat-Bulk.

Density ... 7.93 g cm⁻³
SG ... No. 123

Lattice parameters (Å, degrees): 3.908 3.908 10.198 90.00 90.00 90.00
Atoms (fractional coordinates):
Ac (0.000, 0.000, 0.248)
Ac (0.000, 0.000, 0.752)
Dy (0.500, 0.500, 0.500)
I (0.500, 0.500, 0.000)

---

Relative to the most stable structure, the computed energies are A) 0.255; B) 0.000, all in eV/atom.

---

A) The following is a GGA-PBE calculation of an optimized crystal structure of AcDyI, from Alexandria via LeMat-Bulk.

Density ... 8.13 g cm⁻³
SG ... No. 2

Lattice parameters (Å, degrees): 4.012 6.699 8.550 78.07 76.47 72.58
Atoms (fractional coordinates):
Ac (0.082, 0.163, 0.173)
Ac (0.918, 0.837, 0.827)
Dy (0.355, 0.256, 0.535)
Dy (0.645, 0.744, 0.465)
I (0.345, 0.617, 0.191)
I (0.655, 0.383, 0.809)

---

B) The following is a GGA-PBE calculation of an optimized crystal structure of AcDyI, from Alexandria via LeMat-Bulk.

Density ... 7.95 g cm⁻³
SG ... No. 187

Lattice parameters (Å, degrees): 5.586 5.586 3.990 90.00 90.00 120.00
Atoms (fractional coordinates):
Ac (0.000, 0.000, 0.000)
Dy (0.667, 0.333, 0.500)
I (0.333, 0.667, 0.500)

---

Relative to the most stable structure, the computed energies are A) 0.000; B) 0.249, all in eV/atom.

---

A) The following is a GGA-PBE calculation of an optimized crystal structure of AcDy2In, from Alexandria via LeMat-Bulk.

Density ... 8.65 g cm⁻³
SG ... No. 123

Lattice parameters (Å, degrees): 3.714 3.714 9.280 90.00 90.00 90.00
Atoms (fractional coordinates):
Ac (0.000, 0.000, 0.000)
Dy (0.500, 0.500, 0.287)
Dy (0.500, 0.500, 0.713)
In (0.000, 0.000, 0.500)

---

B) The following is a GGA-PBE calculation of an optimized crystal structure of AcDy2In, from Alexandria via LeMat-Bulk.

Density ... 8.90 g cm⁻³
SG ... No. 225

Lattice parameters (Å, degrees): 5.603 5.603 5.603 60.00 60.00 60.00
Atoms (fractional coordinates):
Ac (0.000, 0.000, 0.000)
Dy (0.250, 0.250, 0.250)
Dy (0.750, 0.750, 0.750)
In (0.500, 0.500, 0.500)

---

C) The following is a GGA-PBE calculation of an optimized crystal structure of AcDy2In, from Alexandria via LeMat-Bulk.

Density ... 8.71 g cm⁻³
SG ... No. 123

Lattice parameters (Å, degrees): 5.040 5.040 5.006 90.00 90.00 90.00
Atoms (fractional coordinates):
Ac (0.000, 0.000, 0.000)
Dy (0.000, 0.500, 0.500)
Dy (0.500, 0.000, 0.500)
In (0.500, 0.500, 0.000)

---

D) The following is a GGA-PBE calculation of an optimized crystal structure of AcDy2In, from Alexandria via LeMat-Bulk.

Density ... 8.42 g cm⁻³
SG ... No. 166

Lattice parameters (Å, degrees): 11.103 11.103 11.103 19.36 19.36 19.36
Atoms (fractional coordinates):
Ac (0.000, 0.000, 0.000)
Dy (0.240, 0.240, 0.240)
Dy (0.760, 0.760, 0.760)
In (0.500, 0.500, 0.500)

---

Relative to the most stable structure, the computed energies are A) 0.000; B) 0.180; C) 0.034; D) 0.092, all in eV/atom.

---

A) The following is a GGA-PBE calculation of an optimized crystal structure of AcDyIn, from Alexandria via LeMat-Bulk.

Density ... 8.19 g cm⁻³
SG ... No. 156

Lattice parameters (Å, degrees): 5.456 5.456 3.964 90.00 90.00 120.00
Atoms (fractional coordinates):
Ac (0.000, 0.000, 0.000)
Dy (0.667, 0.333, 0.495)
In (0.333, 0.667, 0.511)

---

B) The following is a GGA-PBE calculation of an optimized crystal structure of AcDyIn, from Alexandria via LeMat-Bulk.

Density ... 8.03 g cm⁻³
SG ... No. 129

Lattice parameters (Å, degrees): 4.966 4.966 8.451 90.00 90.00 90.00
Atoms (fractional coordinates):
Ac (0.250, 0.250, 0.149)
Ac (0.750, 0.750, 0.851)
Dy (0.250, 0.750, 0.500)
Dy (0.750, 0.250, 0.500)
In (0.250, 0.250, 0.743)
In (0.750, 0.750, 0.257)

---

C) The following is a GGA-PBE calculation of an optimized crystal structure of AcDyIn, from Alexandria via LeMat-Bulk.

Density ... 8.36 g cm⁻³
SG ... No. 107

Lattice parameters (Å, degrees): 7.489 7.489 7.489 150.72 150.72 41.88
Atoms (fractional coordinates):
Ac (0.000, 0.000, 0.000)
Dy (0.303, 0.303, 0.000)
In (0.672, 0.672, 0.000)

---

Relative to the most stable structure, the computed energies are A) 0.100; B) 0.000; C) 0.055, all in eV/atom.

---

A) The following is a GGA-PBE calculation of an optimized crystal structure of Ac2Dy3In4, from Alexandria via LeMat-Bulk.

Density ... 8.08 g cm⁻³
SG ... No. 14

Lattice parameters (Å, degrees): 8.578 8.553 8.257 90.00 108.18 90.00
Atoms (fractional coordinates):
Ac (0.189, 0.175, 0.066)
Ac (0.189, 0.325, 0.566)
Ac (0.811, 0.675, 0.434)
Ac (0.811, 0.825, 0.934)
Dy (0.249, 0.671, 0.249)
Dy (0.249, 0.829, 0.749)
Dy (0.500, 0.000, 0.500)
Dy (0.500, 0.500, 0.000)
Dy (0.751, 0.171, 0.251)
Dy (0.751, 0.329, 0.751)
In (0.081, 0.540, 0.864)
In (0.081, 0.960, 0.364)
In (0.499, 0.124, 0.870)
In (0.499, 0.376, 0.370)
In (0.501, 0.624, 0.630)
In (0.501, 0.876, 0.130)
In (0.919, 0.040, 0.636)
In (0.919, 0.460, 0.136)

---

B) The following is a GGA-PBE calculation of an optimized crystal structure of Ac2Dy3In4, from Alexandria via LeMat-Bulk.

Density ... 8.06 g cm⁻³
SG ... No. 64

Lattice parameters (Å, degrees): 9.411 9.411 9.212 90.00 90.00 134.98
Atoms (fractional coordinates):
Ac (0.110, 0.890, 0.921)
Ac (0.390, 0.610, 0.421)
Ac (0.610, 0.390, 0.579)
Ac (0.890, 0.110, 0.079)
Dy (0.000, 0.000, 0.500)
Dy (0.031, 0.469, 0.750)
Dy (0.469, 0.031, 0.250)
Dy (0.500, 0.500, 0.000)
Dy (0.531, 0.969, 0.750)
Dy (0.969, 0.531, 0.250)
In (0.182, 0.818, 0.538)
In (0.208, 0.292, 0.750)
In (0.292, 0.208, 0.250)
In (0.318, 0.682, 0.038)
In (0.682, 0.318, 0.962)
In (0.708, 0.792, 0.750)
In (0.792, 0.708, 0.250)
In (0.818, 0.182, 0.462)

---

Relative to the most stable structure, the computed energies are A) 0.000; B) 0.102, all in eV/atom.

---

A) The following is a GGA-PBE calculation of an optimized crystal structure of AcDyIn4, from Alexandria via LeMat-Bulk.

Density ... 8.30 g cm⁻³
SG ... No. 191

Lattice parameters (Å, degrees): 5.109 5.109 7.515 90.00 90.00 120.00
Atoms (fractional coordinates):
Ac (0.000, 0.000, 0.000)
Dy (0.000, 0.000, 0.500)
In (0.333, 0.667, 0.280)
In (0.333, 0.667, 0.720)
In (0.667, 0.333, 0.280)
In (0.667, 0.333, 0.720)

---

B) The following is a GGA-PBE calculation of an optimized crystal structure of AcDyIn4, from Alexandria via LeMat-Bulk.

Density ... 8.48 g cm⁻³
SG ... No. 216

Lattice parameters (Å, degrees): 6.171 6.171 6.171 60.00 60.00 60.00
Atoms (fractional coordinates):
Ac (0.000, 0.000, 0.000)
Dy (0.250, 0.250, 0.250)
In (0.126, 0.625, 0.625)
In (0.625, 0.126, 0.625)
In (0.625, 0.625, 0.126)
In (0.625, 0.625, 0.625)

---

C) The following is a GGA-PBE calculation of an optimized crystal structure of AcDyIn4, from Alexandria via LeMat-Bulk.

Density ... 8.19 g cm⁻³
SG ... No. 55

Lattice parameters (Å, degrees): 8.779 21.199 3.699 90.00 90.00 90.00
Atoms (fractional coordinates):
Ac (0.110, 0.183, 0.000)
Ac (0.390, 0.683, 0.000)
Ac (0.610, 0.317, 0.000)
Ac (0.890, 0.817, 0.000)
Dy (0.111, 0.423, 0.000)
Dy (0.389, 0.923, 0.000)
Dy (0.611, 0.077, 0.000)
Dy (0.889, 0.577, 0.000)
In (0.056, 0.685, 0.500)
In (0.072, 0.935, 0.500)
In (0.211, 0.550, 0.500)
In (0.227, 0.808, 0.500)
In (0.273, 0.308, 0.500)
In (0.289, 0.050, 0.500)
In (0.428, 0.435, 0.500)
In (0.444, 0.185, 0.500)
In (0.556, 0.815, 0.500)
In (0.572, 0.565, 0.500)
In (0.711, 0.950, 0.500)
In (0.727, 0.692, 0.500)
In (0.773, 0.192, 0.500)
In (0.789, 0.450, 0.500)
In (0.928, 0.065, 0.500)
In (0.944, 0.315, 0.500)

---

Relative to the most stable structure, the computed energies are A) 0.000; B) 0.078; C) 0.063, all in eV/atom.

---

A) The following is a GGA-PBE calculation of an optimized crystal structure of AcDy2Ir, from Alexandria via LeMat-Bulk.

Density ... 10.63 g cm⁻³
SG ... No. 123

Lattice parameters (Å, degrees): 3.567 3.567 9.141 90.00 90.00 90.00
Atoms (fractional coordinates):
Ac (0.000, 0.000, 0.000)
Dy (0.500, 0.500, 0.326)
Dy (0.500, 0.500, 0.674)
Ir (0.000, 0.000, 0.500)

---

B) The following is a GGA-PBE calculation of an optimized crystal structure of AcDy2Ir, from Alexandria via LeMat-Bulk.

Density ... 8.58 g cm⁻³
SG ... No. 166

Lattice parameters (Å, degrees): 10.926 10.926 10.926 20.81 20.81 20.81
Atoms (fractional coordinates):
Ac (0.000, 0.000, 0.000)
Dy (0.119, 0.119, 0.119)
Dy (0.881, 0.881, 0.881)
Ir (0.500, 0.500, 0.500)

---

Relative to the most stable structure, the computed energies are A) 0.000; B) 0.134, all in eV/atom.

---

A) The following is a GGA-PBE calculation of an optimized crystal structure of AcDyIr, from Alexandria via LeMat-Bulk.

Density ... 11.15 g cm⁻³
SG ... No. 11

Lattice parameters (Å, degrees): 4.922 4.854 7.363 90.00 99.96 90.00
Atoms (fractional coordinates):
Ac (0.227, 0.250, 0.390)
Ac (0.773, 0.750, 0.610)
Dy (0.268, 0.750, 0.011)
Dy (0.732, 0.250, 0.989)
Ir (0.158, 0.250, 0.784)
Ir (0.842, 0.750, 0.216)

---

B) The following is a GGA-PBE calculation of an optimized crystal structure of AcDyIr, from Alexandria via LeMat-Bulk.

Density ... 9.43 g cm⁻³
SG ... No. 156

Lattice parameters (Å, degrees): 4.273 4.273 6.478 90.00 90.00 120.00
Atoms (fractional coordinates):
Ac (0.000, 0.000, 0.000)
Dy (0.333, 0.667, 0.547)
Ir (0.667, 0.333, 0.748)

---

C) The following is a GGA-PBE calculation of an optimized crystal structure of AcDyIr, from Alexandria via LeMat-Bulk.

Density ... 9.83 g cm⁻³
SG ... No. 14

Lattice parameters (Å, degrees): 6.718 7.257 10.107 90.00 127.11 90.00
Atoms (fractional coordinates):
Ac (0.149, 0.084, 0.385)
Ac (0.149, 0.416, 0.885)
Ac (0.851, 0.584, 0.115)
Ac (0.851, 0.916, 0.615)
Dy (0.380, 0.580, 0.615)
Dy (0.380, 0.920, 0.115)
Dy (0.620, 0.080, 0.885)
Dy (0.620, 0.420, 0.385)
Ir (0.364, 0.739, 0.355)
Ir (0.364, 0.761, 0.855)
Ir (0.636, 0.239, 0.145)
Ir (0.636, 0.261, 0.645)

---

D) The following is a GGA-PBE calculation of an optimized crystal structure of AcDyIr, from Alexandria via LeMat-Bulk.

Density ... 10.76 g cm⁻³
SG ... No. 216

Lattice parameters (Å, degrees): 5.026 5.026 5.026 60.00 60.00 60.00
Atoms (fractional coordinates):
Ac (0.000, 0.000, 0.000)
Dy (0.500, 0.500, 0.500)
Ir (0.250, 0.250, 0.250)

---

Relative to the most stable structure, the computed energies are A) 0.000; B) 0.066; C) 0.023; D) 0.102, all in eV/atom.

---

A) The following is a GGA-PBE calculation of an optimized crystal structure of AcDyIr, from Alexandria via LeMat-Bulk.

Density ... 10.99 g cm⁻³
SG ... No. 107

Lattice parameters (Å, degrees): 7.131 7.131 7.131 150.47 150.47 42.25
Atoms (fractional coordinates):
Ac (0.000, 0.000, 0.000)
Dy (0.749, 0.749, 0.000)
Ir (0.357, 0.357, 0.000)

---

B) The following is a GGA-PBE calculation of an optimized crystal structure of AcDyIr, from Alexandria via LeMat-Bulk.

Density ... 9.56 g cm⁻³
SG ... No. 139

Lattice parameters (Å, degrees): 12.852 12.852 12.852 162.03 162.03 25.52
Atoms (fractional coordinates):
Ac (0.079, 0.079, 0.000)
Ac (0.921, 0.921, 0.000)
Dy (0.303, 0.303, 0.000)
Dy (0.697, 0.697, 0.000)
Ir (0.188, 0.188, 0.000)
Ir (0.812, 0.812, 0.000)

---

Relative to the most stable structure, the computed energies are A) 0.000; B) 0.052, all in eV/atom.